Entry 1:
A plane-wave DFT calculation with PBE was carried out for an optimized crystal structure of Li5W4.

As for the formation energy: 897 meV/atom. As for the space group: No. 193.

Cell: 7.777 7.777 5.379 Å, 90.00 90.00 120.00°
Element x y z (fractional)
1 Li 0.000 0.372 0.250
2 Li 0.000 0.628 0.750
3 Li 0.333 0.667 0.000
4 Li 0.333 0.667 0.500
5 Li 0.372 0.000 0.250
6 Li 0.372 0.372 0.750
7 Li 0.628 0.000 0.750
8 Li 0.628 0.628 0.250
9 Li 0.667 0.333 0.000
10 Li 0.667 0.333 0.500
11 W 0.000 0.000 0.000
12 W 0.000 0.000 0.500
13 W 0.000 0.287 0.750
14 W 0.000 0.713 0.250
15 W 0.287 0.000 0.750
16 W 0.287 0.287 0.250
17 W 0.713 0.000 0.250
18 W 0.713 0.713 0.750


Entry 2:
A plane-wave DFT calculation with PBE was carried out for an optimized crystal structure of Li3W.

As for the formation energy: 519 meV/atom. The energy above the lowest structure with this stoichiometry comes out at 0.239 eV per atom. As for the space group: No. 25.

Cell: 2.480 4.866 5.342 Å, 90.00 90.00 90.00°
Element x y z (fractional)
1 Li 0.000 0.000 0.000
2 Li 0.000 0.500 0.296
3 Li 0.500 0.000 0.536
4 W 0.500 0.500 0.800


Entry 3:
A plane-wave DFT calculation with PBE was carried out for an optimized crystal structure of LiW3.

As for the formation energy: 467 meV/atom. The energy above the lowest structure with this stoichiometry comes out at 0.152 eV per atom. As for the space group: No. 65.

Cell: 5.436 8.800 2.629 Å, 90.00 90.00 90.00°
Element x y z (fractional)
1 Li 0.000 0.000 0.000
2 Li 0.500 0.500 0.000
3 W 0.000 0.500 0.000
4 W 0.250 0.250 0.500
5 W 0.250 0.750 0.500
6 W 0.500 0.000 0.000
7 W 0.750 0.250 0.500
8 W 0.750 0.750 0.500


Entry 4:
A plane-wave DFT calculation with PBE was carried out for an optimized crystal structure of LiW.

As for the formation energy: 574 meV/atom. The energy above the lowest structure with this stoichiometry comes out at 0.306 eV per atom. As for the space group: No. 12.

Cell: 9.798 2.629 5.318 Å, 90.00 113.43 90.00°
Element x y z (fractional)
1 Li 0.123 0.000 0.475
2 Li 0.377 0.500 0.525
3 Li 0.623 0.500 0.475
4 Li 0.877 0.000 0.525
5 W 0.123 0.500 0.977
6 W 0.377 0.000 0.023
7 W 0.623 0.000 0.977
8 W 0.877 0.500 0.023


Entry 5:
A plane-wave DFT calculation with PBE was carried out for an optimized crystal structure of LiW3.

As for the formation energy: 315 meV/atom. The energy above the lowest structure with this stoichiometry comes out at 0.000 eV per atom. As for the space group: No. 65.

Cell: 3.118 4.438 9.308 Å, 90.00 90.00 90.00°
Element x y z (fractional)
1 Li 0.000 0.000 0.000
2 Li 0.500 0.500 0.000
3 W 0.000 0.000 0.500
4 W 0.000 0.500 0.257
5 W 0.000 0.500 0.743
6 W 0.500 0.000 0.257
7 W 0.500 0.000 0.743
8 W 0.500 0.500 0.500


Entry 6:
A plane-wave DFT calculation with PBE was carried out for an optimized crystal structure of LiW.

As for the formation energy: 633 meV/atom. The energy above the lowest structure with this stoichiometry comes out at 0.364 eV per atom. As for the space group: No. 123.

Cell: 2.570 2.570 4.737 Å, 90.00 90.00 90.00°
Element x y z (fractional)
1 Li 0.000 0.000 0.000
2 W 0.500 0.500 0.500


Entry 7:
A plane-wave DFT calculation with PBE was carried out for an optimized crystal structure of Li3W.

As for the formation energy: 313 meV/atom. The energy above the lowest structure with this stoichiometry comes out at 0.033 eV per atom. As for the space group: No. 166.

Cell: 2.751 2.751 30.437 Å, 90.00 90.00 120.00°
Element x y z (fractional)
1 Li 0.000 0.000 0.000
2 Li 0.000 0.000 0.246
3 Li 0.000 0.000 0.754
4 Li 0.333 0.667 0.420
5 Li 0.333 0.667 0.667
6 Li 0.333 0.667 0.913
7 Li 0.667 0.333 0.087
8 Li 0.667 0.333 0.333
9 Li 0.667 0.333 0.580
10 W 0.000 0.000 0.500
11 W 0.333 0.667 0.167
12 W 0.667 0.333 0.833


Entry 8:
A plane-wave DFT calculation with PBE was carried out for an optimized crystal structure of LiW.

As for the formation energy: 1830 meV/atom. The energy above the lowest structure with this stoichiometry comes out at 1.562 eV per atom. As for the space group: No. 217.

Cell: 8.906 8.906 8.906 Å, 90.00 90.00 90.00°
Element x y z (fractional)
1 Li 0.202 0.202 0.202
2 Li 0.202 0.798 0.798
3 Li 0.298 0.298 0.702
4 Li 0.298 0.702 0.298
5 Li 0.702 0.298 0.298
6 Li 0.702 0.702 0.702
7 Li 0.798 0.202 0.798
8 Li 0.798 0.798 0.202
9 W 0.097 0.097 0.903
10 W 0.097 0.903 0.097
11 W 0.403 0.403 0.403
12 W 0.403 0.597 0.597
13 W 0.597 0.403 0.597
14 W 0.597 0.597 0.403
15 W 0.903 0.097 0.097
16 W 0.903 0.903 0.903


Entry 9:
A plane-wave DFT calculation with PBE was carried out for an optimized crystal structure of LiW3.

As for the formation energy: 485 meV/atom. The energy above the lowest structure with this stoichiometry comes out at 0.170 eV per atom. As for the space group: No. 123.

Cell: 4.268 4.268 3.338 Å, 90.00 90.00 90.00°
Element x y z (fractional)
1 Li 0.000 0.000 0.000
2 W 0.000 0.500 0.500
3 W 0.500 0.000 0.500
4 W 0.500 0.500 0.000


Entry 10:
A plane-wave DFT calculation with PBE was carried out for an optimized crystal structure of LiW.

As for the formation energy: 522 meV/atom. The energy above the lowest structure with this stoichiometry comes out at 0.254 eV per atom. As for the space group: No. 59.

Cell: 4.697 13.492 2.634 Å, 90.00 90.00 90.00°
Element x y z (fractional)
1 Li 0.250 0.115 0.024
2 Li 0.250 0.250 0.568
3 Li 0.250 0.385 0.024
4 Li 0.750 0.615 0.976
5 Li 0.750 0.750 0.432
6 Li 0.750 0.885 0.976
7 W 0.250 0.559 0.408
8 W 0.250 0.750 0.883
9 W 0.250 0.941 0.408
10 W 0.750 0.059 0.592
11 W 0.750 0.250 0.117
12 W 0.750 0.441 0.592


Entry 11:
A plane-wave DFT calculation with PBE was carried out for an optimized crystal structure of Li3W.

As for the formation energy: 496 meV/atom. The energy above the lowest structure with this stoichiometry comes out at 0.216 eV per atom. As for the space group: No. 10.

Cell: 2.475 4.756 5.456 Å, 90.00 92.13 90.00°
Element x y z (fractional)
1 Li 0.000 0.000 0.000
2 Li 0.047 0.500 0.729
3 Li 0.953 0.500 0.271
4 W 0.500 0.000 0.500


Entry 12:
A plane-wave DFT calculation with PBE was carried out for an optimized crystal structure of Li5W.

As for the formation energy: 815 meV/atom. The energy above the lowest structure with this stoichiometry comes out at 0.441 eV per atom. As for the space group: No. 191.

Cell: 4.992 4.992 4.378 Å, 90.00 90.00 120.00°
Element x y z (fractional)
1 Li 0.000 0.500 0.000
2 Li 0.333 0.667 0.500
3 Li 0.500 0.000 0.000
4 Li 0.500 0.500 0.000
5 Li 0.667 0.333 0.500
6 W 0.000 0.000 0.500


Computed values of DOS at the Fermi energy (unit: states/eV/cell) for the preceding records, in sequence: 16.693 2.535 2.430 4.948 6.363 1.897 12.105 21.542 2.870 6.742 2.817 3.410.